(P)
# Dy3ZnC PBE relaxed
data_Dy3ZnC
_chemical_formula_sum 'Dy3 Zn1 C1'
_cell_length_a 4.8793
_cell_length_b 4.8793
_cell_length_c 4.8793
_cell_angle_alpha 90.00
_cell_angle_beta 90.00
_cell_angle_gamma 90.00
_space_group_name_H-M_alt 'P m -3 m'
_space_group_IT_number 221
_space_group_name_Hall '-P 4 2 3'
loop_
_atom_site_label
_atom_site_fract_x
_atom_site_fract_y
_atom_site_fract_z
Dy1 0.0000 0.0000 0.5000
Zn1 0.5000 0.5000 0.5000
C1 0.0000 0.0000 0.0000
# Density of states at the Fermi level = 6.38 states/eV per cell
# V = 23.23 Å³/atom

(Q)
# Dy3ZnC PBE relaxed
data_Dy3ZnC
_chemical_formula_sum 'Dy12 Zn4 C4'
_cell_length_a 11.3510
_cell_length_b 5.0904
_cell_length_c 8.1335
_cell_angle_alpha 90.00
_cell_angle_beta 108.89
_cell_angle_gamma 90.00
_space_group_name_H-M_alt 'C 1 2/m 1'
_space_group_IT_number 12
_space_group_name_Hall '-C 2y'
loop_
_atom_site_label
_atom_site_fract_x
_atom_site_fract_y
_atom_site_fract_z
Dy1 0.0946 0.0000 0.2059
Dy2 0.1386 0.5000 0.9209
Dy3 0.1618 0.0000 0.6448
Zn1 0.0899 0.5000 0.4363
C1 0.1325 0.0000 0.9250
# Density of states at the Fermi level = 13.46 states/eV per cell
# V = 22.23 Å³/atom

So which one is most stable? That would be (Q), about 2.8 kJ/mol of atoms below the next structure.

(P)
# Er2FeC2 PBE relaxed
data_Er2FeC2
_chemical_formula_sum 'Er8 Fe4 C8'
_cell_length_a 6.2068
_cell_length_b 4.9801
_cell_length_c 9.5990
_cell_angle_alpha 90.00
_cell_angle_beta 90.00
_cell_angle_gamma 90.00
_space_group_name_H-M_alt 'P n m a'
_space_group_IT_number 62
_space_group_name_Hall '-P 2ac 2n'
loop_
_atom_site_label
_atom_site_fract_x
_atom_site_fract_y
_atom_site_fract_z
Er1 0.0188 0.2500 0.2170
Er2 0.1835 0.2500 0.5546
Fe1 0.2294 0.2500 0.8562
C1 0.0348 0.7500 0.2395
C2 0.1911 0.7500 0.5408
# Density of states at the Fermi level = 12.69 states/eV per cell
# V = 14.84 Å³/atom

(Q)
# Er2FeC2 PBE relaxed
data_Er2FeC2
_chemical_formula_sum 'Er8 Fe4 C8'
_cell_length_a 10.7871
_cell_length_b 4.9711
_cell_length_c 6.6097
_cell_angle_alpha 90.00
_cell_angle_beta 121.20
_cell_angle_gamma 90.00
_space_group_name_H-M_alt 'C 1 2/m 1'
_space_group_IT_number 12
_space_group_name_Hall '-C 2y'
loop_
_atom_site_label
_atom_site_fract_x
_atom_site_fract_y
_atom_site_fract_z
Er1 0.0406 0.0000 0.2819
Er2 0.1819 0.5000 0.1110
Fe1 0.1294 0.5000 0.6306
C1 0.0160 0.5000 0.2971
C2 0.1832 0.0000 0.1069
# Density of states at the Fermi level = 11.03 states/eV per cell
# V = 15.16 Å³/atom

So which one is most stable? That would be (Q), about 0.6 kJ/mol of atoms below the next structure.

(P)
# Er4Ga2C PBE relaxed
data_Er4Ga2C
_chemical_formula_sum 'Er8 Ga4 C2'
_cell_length_a 4.8213
_cell_length_b 4.8213
_cell_length_c 14.1197
_cell_angle_alpha 90.00
_cell_angle_beta 90.00
_cell_angle_gamma 90.00
_space_group_name_H-M_alt 'I 4/m m m'
_space_group_IT_number 139
_space_group_name_Hall '-I 4 2'
loop_
_atom_site_label
_atom_site_fract_x
_atom_site_fract_y
_atom_site_fract_z
Er1 0.0000 0.0000 0.1711
Er2 0.0000 0.5000 0.0000
Ga1 0.0000 0.0000 0.3757
C1 0.0000 0.0000 0.0000
# Density of states at the Fermi level = 1.53 states/eV per cell
# V = 23.44 Å³/atom

(Q)
# Er4Ga2C PBE relaxed
data_Er4Ga2C
_chemical_formula_sum 'Er8 Ga4 C2'
_cell_length_a 12.0375
_cell_length_b 3.6926
_cell_length_c 8.4424
_cell_angle_alpha 90.00
_cell_angle_beta 124.20
_cell_angle_gamma 90.00
_space_group_name_H-M_alt 'C 1 2/m 1'
_space_group_IT_number 12
_space_group_name_Hall '-C 2y'
loop_
_atom_site_label
_atom_site_fract_x
_atom_site_fract_y
_atom_site_fract_z
Er1 0.0863 0.0000 0.3396
Er2 0.1542 0.5000 0.0620
Ga1 0.1236 0.5000 0.6601
C1 0.0000 0.0000 0.0000
# Density of states at the Fermi level = 8.59 states/eV per cell
# V = 22.17 Å³/atom

So which one is most stable? That would be (Q), about 4.2 kJ/mol of atoms below the next structure.

(P)
# Er4GeC2 PBE relaxed
data_Er4GeC2
_chemical_formula_sum 'Er16 Ge4 C8'
_cell_length_a 3.6873
_cell_length_b 12.1233
_cell_length_c 12.4207
_cell_angle_alpha 90.00
_cell_angle_beta 90.00
_cell_angle_gamma 90.00
_space_group_name_H-M_alt 'C m c m'
_space_group_IT_number 63
_space_group_name_Hall '-C 2c 2'
loop_
_atom_site_label
_atom_site_fract_x
_atom_site_fract_y
_atom_site_fract_z
Er1 0.0000 0.0000 0.0000
Er2 0.0000 0.2652 0.1058
Er3 0.0000 0.4325 0.7500
Ge1 0.0000 0.1117 0.7500
C1 0.0000 0.3641 0.5606
# Density of states at the Fermi level = 10.28 states/eV per cell
# V = 19.83 Å³/atom

(Q)
# Er4GeC2 PBE relaxed
data_Er4GeC2
_chemical_formula_sum 'Er8 Ge2 C4'
_cell_length_a 7.3194
_cell_length_b 7.3194
_cell_length_c 6.1155
_cell_angle_alpha 90.00
_cell_angle_beta 90.00
_cell_angle_gamma 90.00
_space_group_name_H-M_alt 'I 4/m'
_space_group_IT_number 87
_space_group_name_Hall '-I 4'
loop_
_atom_site_label
_atom_site_fract_x
_atom_site_fract_y
_atom_site_fract_z
Er1 0.1475 0.3304 0.0000
Ge1 0.0000 0.0000 0.5000
C1 0.0000 0.5000 0.2500
# Density of states at the Fermi level = 0.93 states/eV per cell
# V = 23.40 Å³/atom

So which one is most stable? That would be (P), about 34.3 kJ/mol of atoms below the next structure.

(P)
# ErHfC2 PBE relaxed
data_ErHfC2
_chemical_formula_sum 'Er3 Hf3 C6'
_cell_length_a 3.3879
_cell_length_b 3.3879
_cell_length_c 16.9069
_cell_angle_alpha 90.00
_cell_angle_beta 90.00
_cell_angle_gamma 120.00
_space_group_name_H-M_alt 'R -3 m'
_space_group_IT_number 166
_space_group_name_Hall '-R 3 2"'
loop_
_atom_site_label
_atom_site_fract_x
_atom_site_fract_y
_atom_site_fract_z
Er1 0.0000 0.0000 0.0000
Hf1 0.0000 0.0000 0.5000
C1 0.0000 0.0000 0.2427
# Density of states at the Fermi level = 6.82 states/eV per cell
# V = 14.00 Å³/atom

(Q)
# ErHfC2 PBE relaxed
data_ErHfC2
_chemical_formula_sum 'Er3 Hf3 C6'
_cell_length_a 3.4533
_cell_length_b 3.4533
_cell_length_c 16.8425
_cell_angle_alpha 90.00
_cell_angle_beta 90.00
_cell_angle_gamma 120.00
_space_group_name_H-M_alt 'R 3 m'
_space_group_IT_number 160
_space_group_name_Hall 'R 3 -2"'
loop_
_atom_site_label
_atom_site_fract_x
_atom_site_fract_y
_atom_site_fract_z
Er1 0.0000 0.0000 0.0000
Hf1 0.0000 0.0000 0.8251
C1 0.0000 0.0000 0.4208
C2 0.0000 0.0000 0.5649
# Density of states at the Fermi level = 8.02 states/eV per cell
# V = 14.49 Å³/atom

So which one is most stable? That would be (P), about 33.6 kJ/mol of atoms below the next structure.

(P)
# Er3Hg2C PBE relaxed
data_Er3Hg2C
_chemical_formula_sum 'Er12 Hg8 C4'
_cell_length_a 8.1323
_cell_length_b 11.2959
_cell_length_c 6.3541
_cell_angle_alpha 90.00
_cell_angle_beta 105.91
_cell_angle_gamma 90.00
_space_group_name_H-M_alt 'C 1 2/c 1'
_space_group_IT_number 15
_space_group_name_Hall '-C 2yc'
loop_
_atom_site_label
_atom_site_fract_x
_atom_site_fract_y
_atom_site_fract_z
Er1 0.1694 0.0717 0.4884
Er2 0.2500 0.2500 0.0000
Hg1 0.0000 0.3005 0.2500
Hg2 0.0000 0.4341 0.7500
C1 0.0000 0.0726 0.7500
# Density of states at the Fermi level = 15.84 states/eV per cell
# V = 23.39 Å³/atom

(Q)
# Er3Hg2C PBE relaxed
data_Er3Hg2C
_chemical_formula_sum 'Er6 Hg4 C2'
_cell_length_a 4.9745
_cell_length_b 15.3965
_cell_length_c 3.4746
_cell_angle_alpha 90.00
_cell_angle_beta 90.00
_cell_angle_gamma 90.00
_space_group_name_H-M_alt 'C m m m'
_space_group_IT_number 65
_space_group_name_Hall '-C 2 2'
loop_
_atom_site_label
_atom_site_fract_x
_atom_site_fract_y
_atom_site_fract_z
Er1 0.0000 0.0000 0.0000
Er2 0.0000 0.3874 0.5000
Hg1 0.0000 0.1977 0.0000
C1 0.0000 0.5000 0.0000
# Density of states at the Fermi level = 8.51 states/eV per cell
# V = 22.18 Å³/atom

So which one is most stable? That would be (Q), about 14.0 kJ/mol of atoms below the next structure.